w | Density functional theory data (PBE) for a relaxed structure of MnCd2Mo.

## Properties
SG ... Pmm2

a b c (Å): 3.042 3.055 7.508
angles (deg): 90.00 90.00 90.00
Sites, in units of the cell vectors:
1 Mn 0.000 0.000 0.000
2 Cd 0.000 0.000 0.442
3 Cd 0.500 0.500 0.745
4 Mo 0.500 0.500 0.161

x | Density functional theory data (PBE) for a relaxed structure of MnCd2Mo.

## Properties
SG ... P4/mmm

a b c (Å): 4.003 4.003 4.398
angles (deg): 90.00 90.00 90.00
Sites, in units of the cell vectors:
1 Mn 0.000 0.000 0.000
2 Cd 0.000 0.500 0.500
3 Cd 0.500 0.000 0.500
4 Mo 0.500 0.500 0.000

In eV/atom, relative to the most stable structure: w 0.000; x 0.204.

w | Density functional theory data (PBE) for a relaxed structure of MnCd2Mo.

## Properties
SG ... Cmm2

a b c (Å): 2.829 2.829 9.288
angles (deg): 90.00 90.00 107.71
Sites, in units of the cell vectors:
1 Mn 0.000 0.000 0.000
2 Cd 0.000 0.000 0.463
3 Cd 0.500 0.500 0.754
4 Mo 0.500 0.500 0.202

x | Density functional theory data (PBE) for a relaxed structure of MnCd2Mo.

## Properties
SG ... R-3m

a b c (Å): 9.854 9.854 9.854
angles (deg): 17.04 17.04 17.04
Sites, in units of the cell vectors:
1 Mn 0.000 0.000 0.000
2 Cd 0.251 0.251 0.251
3 Cd 0.749 0.749 0.749
4 Mo 0.500 0.500 0.500

In eV/atom, relative to the most stable structure: w 0.000; x 0.197.

w | Density functional theory data (PBE) for a relaxed structure of MnCdMo.

## Properties
SG ... P-1

a b c (Å): 2.760 5.334 7.140
angles (deg): 111.43 90.45 97.53
Sites, in units of the cell vectors:
1 Mn 0.248 0.179 0.486
2 Mn 0.752 0.821 0.514
3 Cd 0.432 0.180 0.876
4 Cd 0.568 0.820 0.124
5 Mo 0.012 0.584 0.714
6 Mo 0.988 0.416 0.286

x | Density functional theory data (PBE) for a relaxed structure of MnCdMo.

## Properties
SG ... Pm

a b c (Å): 2.917 4.142 8.227
angles (deg): 90.00 91.63 90.00
Sites, in units of the cell vectors:
1 Mn 0.000 0.000 0.000
2 Mn 0.055 0.500 0.200
3 Cd 0.447 0.000 0.704
4 Cd 0.921 0.500 0.516
5 Mo 0.494 0.000 0.257
6 Mo 0.528 0.500 0.964

In eV/atom, relative to the most stable structure: w 0.041; x 0.000.